No. 1
# LiTiGa

A geometry-optimized LiTiGa structure (GGA-PBE, the Alexandria database).

Unit cell a=14.6238 b=4.5249 c=2.8932 alpha=90.00 beta=91.06 gamma=90.00
Space group C2 (No. 5)
One atom of each set of equivalent atoms:
1 Li 0.0000 0.0000 0.0000 x2
2 Li 0.0000 0.4997 0.5000 x2
3 Ti 0.1853 0.0029 0.5399 x4
4 Ga 0.1473 0.5030 0.0144 x4

For the electronic total energy, the calculation gives -54.38 eV/cell. The energy relative to the elements is -0.2530 eV/atom. As for the total moment: 0.000 μB/cell. As for the crystal system: monoclinic.


No. 2
# BaHgSb

A geometry-optimized BaHgSb structure (GGA-PBE, the Alexandria database).

Unit cell a=3.8226 b=4.5411 c=11.5899 alpha=90.00 beta=90.00 gamma=90.00
Space group Imm2 (No. 44)
One atom of each set of equivalent atoms:
1 Ba 0.0000 0.0000 0.0000 x2
2 Hg 0.0000 0.0000 0.6781 x2
3 Sb 0.0000 0.0000 0.3153 x2

For the electronic total energy, the calculation gives -15.80 eV/cell. The uncorrected formation energy comes out at -150 kJ/mol of formula units. As for the total moment: 0.000 μB/cell. As for the crystal system: orthorhombic.


Question: What is the total moment in the first record?
Answer: 0.000 μB/cell